# 1
Entry from the Alexandria database: an optimized crystal structure of TmCdCo (PBE-GGA).

a b c (Å): 3.826 16.608 3.765
angles (deg): 90.00 90.00 90.00
Fractional coordinates of all 12 atoms:
Tm  0.000  0.091  0.250
Tm  0.000  0.909  0.750
Tm  0.500  0.409  0.750
Tm  0.500  0.591  0.250
Cd  0.000  0.297  0.250
Cd  0.000  0.703  0.750
Cd  0.500  0.203  0.750
Cd  0.500  0.797  0.250
Co  0.000  0.463  0.250
Co  0.000  0.537  0.750
Co  0.500  0.037  0.750
Co  0.500  0.963  0.250

## Properties
spin magnetization	0.0	μB per cell
ΔE_f	-0.297	eV/atom


# 2
Entry from the Alexandria database: an optimized crystal structure of Tm7Cd2Co2 (PBE-GGA).

a b c (Å): 9.639 9.639 9.639
angles (deg): 158.86 63.28 121.12
Fractional coordinates of all 11 atoms:
Tm  0.000  0.000  0.000
Tm  0.296  0.436  0.860
Tm  0.309  0.626  0.684
Tm  0.576  0.436  0.140
Tm  0.622  0.273  0.349
Tm  0.925  0.273  0.651
Tm  0.942  0.626  0.316
Cd  0.278  0.778  0.500
Cd  0.663  0.663  0.000
Co  0.163  0.922  0.240
Co  0.682  0.922  0.760

## Properties
energy relative to the lowest polymorph listed for this composition	0.00	eV/f.u.
spin magnetization	0.0	μB per cell
ΔE_f	-0.207	eV/atom


# 3
Entry from the Alexandria database: an optimized crystal structure of Tm2CdCo (PBE-GGA).

a b c (Å): 3.372 3.372 7.550
angles (deg): 90.00 90.00 90.00
Fractional coordinates of all 4 atoms:
Tm  0.000  0.000  0.212
Tm  0.000  0.000  0.788
Cd  0.500  0.500  0.500
Co  0.500  0.500  0.000

## Properties
energy relative to the lowest polymorph listed for this composition	0.00	eV/f.u.
spin magnetization	0.4	μB per cell
ΔE_f	-0.297	eV/atom


Which value of ΔE_f does entry 2 give? -0.207 eV/atom


What is the formula in the third record? Tm2CdCo